Entry 1:
Entry from Alexandria: crystalline ReBiBr2 at its relaxed geometry (PBE).

a = 7.224 Å, b = 7.224 Å, c = 7.224 Å
α = 90.00°, β = 90.00°, γ = 90.00°
Space group Fm-3m (No. 225)
Symmetry-distinct sites (fractional):
Re 0.000 0.000 0.000 (multiplicity 4)
Bi 0.000 0.000 0.500 (multiplicity 4)
Br 0.250 0.250 0.250 (multiplicity 8)

Values from the calculation:
Crystal system: cubic
Formation energy from raw total energies, eV per atom: 1.24
Energy above the lowest structure with this stoichiometry, meV/atom: 723


Entry 2:
Entry from Alexandria: crystalline La2NiAuC at its relaxed geometry (PBE).

a = 5.369 Å, b = 5.369 Å, c = 3.696 Å
α = 90.00°, β = 90.00°, γ = 90.00°
Space group P4/mmm (No. 123)
Symmetry-distinct sites (fractional):
La 0.000 0.500 0.000 (multiplicity 2)
Ni 0.000 0.000 0.500 (multiplicity 1)
Au 0.500 0.500 0.500 (multiplicity 1)
C 0.000 0.000 0.000 (multiplicity 1)

Values from the calculation:
Crystal system: tetragonal
Energy of formation, meV/atom: -454


Entry 3:
Entry from Alexandria: crystalline CuSbOs2 at its relaxed geometry (PBE).

a = 2.913 Å, b = 4.424 Å, c = 4.965 Å
α = 90.00°, β = 92.04°, γ = 90.00°
Space group P2/m (No. 10)
Symmetry-distinct sites (fractional):
Cu 0.000 0.000 0.000 (multiplicity 1)
Sb 0.500 0.000 0.500 (multiplicity 1)
Os 0.257 0.500 0.777 (multiplicity 2)

Values from the calculation:
Crystal system: monoclinic
Formation energy from raw total energies, eV per atom: 0.66


Number 1: raw total energy -3.6770 eV/atom. Number 2: raw total energy -6.0819 eV/atom. Number 3: raw total energy -7.0138 eV/atom.